Run i
NaSb2OsI PBE relaxed; SG = P4/mmm (123)
1.0
5.070 0.000 0.000
0.000 5.070 0.000
0.000 0.000 6.222
Sb Os Na I
2 1 1 1
Direct
0.000 0.500 0.000
0.500 0.000 0.000
0.000 0.000 0.000
0.500 0.500 0.500
0.000 0.000 0.500

Run ii
NaSb2OsI PBE relaxed; SG = P4/mmm (123)
1.0
5.410 0.000 0.000
0.000 5.410 0.000
0.000 0.000 5.362
I Sb Os Na
1 2 1 1
Direct
0.000 0.000 0.500
0.000 0.500 0.000
0.500 0.000 0.000
0.500 0.500 0.500
0.000 0.000 0.000

Top of the stability list: run i, leading by 142.2 kJ/mol of atoms.

Run i
NaTeOsI2 PBE relaxed; SG = P4/mmm (123)
1.0
-2.550 -2.712 4.472
0.681 -4.372 -2.263
5.169 -0.549 2.615
Te Na Os I
1 1 1 2
Direct
0.000 0.500 0.000
0.500 0.500 0.500
0.000 0.000 0.000
0.000 0.000 0.500
0.500 0.000 0.000

Run ii
NaTeOsI2 PBE relaxed; SG = P4/mmm (123)
1.0
5.607 0.000 0.000
0.000 5.607 0.000
0.000 0.000 5.819
Te Na Os I
1 1 1 2
Direct
0.000 0.000 0.500
0.000 0.000 0.000
0.500 0.500 0.500
0.000 0.500 0.000
0.500 0.000 0.000

Top of the stability list: run i, leading by 121.8 kJ/mol of atoms.